No. 1
The following is a DFT calculation (PBE-GGA) of an optimized crystal structure of CsZnIn2Ir.

Summary:
density	7.23	g/cm³
DOS(E_F)	0.84	states/eV/f.u.
VASP energy	-17.24	eV for the cell shown
space-group type	No. 123
E_form	-0.15	eV/atom

Structure (extended XYZ):
```
5
Lattice="5.248 0.000 0.000 0.000 5.248 0.000 0.000 0.000 5.172" Properties=species:S:1:pos:R:3 pbc="T T T"
Cs 0.000 0.000 0.000
Zn 2.624 2.624 0.000
In 0.000 2.624 2.586
In 2.624 0.000 2.586
Ir 2.624 2.624 2.586
```

***

No. 2
The following is a DFT calculation (PBE-GGA) of an optimized crystal structure of CsZrInIr2.

Summary:
density	8.64	g/cm³
DOS(E_F)	6.82	states/eV/f.u.
VASP energy	-18.16	eV for the cell shown
space-group type	No. 123
E_form	2.34	eV/atom

Structure (extended XYZ):
```
5
Lattice="5.005 0.000 0.000 0.000 5.005 0.000 0.000 0.000 5.554" Properties=species:S:1:pos:R:3 pbc="T T T"
Cs 0.000 0.000 0.000
Zr 2.502 2.502 2.777
In 0.000 0.000 2.777
Ir 0.000 2.502 0.000
Ir 2.502 0.000 0.000
```

***

No. 3
The following is a DFT calculation (PBE-GGA) of an optimized crystal structure of CsK2In2.

Summary:
density	2.74	g/cm³
DOS(E_F)	3.65	states/eV/f.u.
VASP energy	-8.78	eV for the cell shown
space-group type	No. 12
E_form	-0.05	eV/atom

Structure (extended XYZ):
```
5
Lattice="7.461 -2.587 0.000 7.461 2.587 0.000 -1.655 0.000 6.920" Properties=species:S:1:pos:R:3 pbc="T T T"
Cs 0.000 0.000 0.000
K 4.440 0.000 3.060
K 8.826 0.000 3.860
In 2.439 0.000 6.350
In 10.827 0.000 0.570
```

***

No. 4
The following is a DFT calculation (PBE-GGA) of an optimized crystal structure of CsKIn2.

Summary:
density	3.09	g/cm³
DOS(E_F)	2.51	states/eV/f.u.
VASP energy	-15.68	eV for the cell shown
space-group type	No. 11
E_form	-0.10	eV/atom

Structure (extended XYZ):
```
8
Lattice="5.154 0.000 0.000 0.000 8.898 0.000 -2.555 0.000 9.398" Properties=species:S:1:pos:R:3 pbc="T T T"
Cs 0.007 2.225 1.902
Cs 2.592 6.674 7.496
K 0.014 2.225 6.908
K 2.585 6.674 2.491
In 0.011 5.190 4.705
In 0.011 8.157 4.705
In 2.588 0.741 4.694
In 2.588 3.708 4.694
```

***

No. 5
The following is a DFT calculation (PBE-GGA) of an optimized crystal structure of CsKIn2.

Summary:
density	3.85	g/cm³
DOS(E_F)	3.87	states/eV/f.u.
VASP energy	-6.82	eV for the cell shown
space-group type	No. 225
E_form	0.15	eV/atom

Structure (extended XYZ):
```
4
Lattice="0.000 4.425 4.425 4.425 0.000 4.425 4.425 4.425 0.000" Properties=species:S:1:pos:R:3 pbc="T T T"
Cs 0.000 0.000 0.000
K 4.425 4.425 4.425
In 2.213 2.213 2.213
In 6.638 6.638 6.638
```

***

No. 6
The following is a DFT calculation (PBE-GGA) of an optimized crystal structure of CsK2In2.

Summary:
density	2.81	g/cm³
DOS(E_F)	6.67	states/eV/f.u.
VASP energy	-8.37	eV for the cell shown
space-group type	No. 139
E_form	0.03	eV/atom

Structure (extended XYZ):
```
5
Lattice="-3.006 3.006 7.207 3.006 -3.006 7.207 3.006 3.006 -7.207" Properties=species:S:1:pos:R:3 pbc="T T T"
Cs 0.000 0.000 0.000
K 3.006 0.000 3.604
K 0.000 3.006 3.604
In 0.000 0.000 5.809
In 0.000 0.000 8.605
```